DFT (GGA-PBE) results for an optimized crystal structure of Ho3Er4Cu4.

Values from the calculation:
The density of states at the Fermi level is 0.894 states/eV per atom. For the formation energy from the elements, the calculation gives -0.09 eV per atom.

a b c (Å): 4.788 7.285 8.648
angles (deg): 114.91 106.07 90.00
Element x y z (fractional)
1 Ho 0.104 0.104 0.208
2 Er 0.328 0.108 0.655
3 Er 0.672 0.892 0.345
4 Cu 0.500 0.832 0.000
5 Er 0.672 0.453 0.345
6 Er 0.328 0.547 0.655
7 Ho 0.000 0.500 0.000
8 Cu 0.500 0.168 0.000
9 Cu 0.201 0.701 0.403
10 Cu 0.799 0.299 0.597
11 Ho 0.896 0.896 0.792

***

DFT (GGA-PBE) results for an optimized crystal structure of Ho5ErCu6.

Values from the calculation:
The density of states at the Fermi level is 0.442 states/eV per atom. For the formation energy from the elements, the calculation gives -0.27 eV per atom.

a b c (Å): 4.895 6.842 7.740
angles (deg): 90.00 71.57 90.00
Element x y z (fractional)
1 Cu 0.500 0.249 0.000
2 Ho 0.334 0.000 0.333
3 Cu 0.166 0.249 0.668
4 Cu 0.500 0.751 0.000
5 Ho 0.000 0.500 0.000
6 Cu 0.166 0.751 0.668
7 Ho 0.333 0.500 0.334
8 Ho 0.666 0.000 0.667
9 Ho 0.667 0.500 0.666
10 Cu 0.834 0.249 0.332
11 Cu 0.834 0.751 0.332
12 Er 0.000 0.000 0.000

***

DFT (GGA-PBE) results for an optimized crystal structure of Ho4ErCu2.

Values from the calculation:
The density of states at the Fermi level is 1.366 states/eV per atom. For the formation energy from the elements, the calculation gives 0.16 eV per atom.

a b c (Å): 4.852 4.852 9.934
angles (deg): 75.87 75.87 60.00
Element x y z (fractional)
1 Cu 0.600 0.600 0.199
2 Ho 0.099 0.099 0.702
3 Cu 0.400 0.400 0.801
4 Ho 0.299 0.299 0.104
5 Er 0.500 0.500 0.500
6 Ho 0.901 0.901 0.298
7 Ho 0.701 0.701 0.896

***

DFT (GGA-PBE) results for an optimized crystal structure of Ho2ErCu3.

Values from the calculation:
The density of states at the Fermi level is 0.454 states/eV per atom. For the formation energy from the elements, the calculation gives -0.27 eV per atom.

a b c (Å): 3.439 3.439 10.364
angles (deg): 90.00 90.00 90.00
Element x y z (fractional)
1 Cu 0.000 0.000 0.335
2 Ho 0.500 0.500 0.833
3 Ho 0.500 0.500 0.167
4 Cu 0.000 0.000 0.000
5 Cu 0.000 0.000 0.665
6 Er 0.500 0.500 0.500

***

DFT (GGA-PBE) results for an optimized crystal structure of Ho3ErCu4.

Values from the calculation:
The density of states at the Fermi level is 0.583 states/eV per atom. For the formation energy from the elements, the calculation gives -0.27 eV per atom.

a b c (Å): 3.435 4.884 9.763
angles (deg): 90.00 90.00 90.00
Element x y z (fractional)
1 Cu 0.000 0.500 0.249
2 Cu 0.000 0.000 0.000
3 Ho 0.500 0.000 0.250
4 Cu 0.000 0.000 0.500
5 Er 0.500 0.500 0.000
6 Ho 0.500 0.000 0.750
7 Ho 0.500 0.500 0.500
8 Cu 0.000 0.500 0.751

***

DFT (GGA-PBE) results for an optimized crystal structure of HoErCu2.

Values from the calculation:
The density of states at the Fermi level is 0.572 states/eV per atom. For the formation energy from the elements, the calculation gives -0.27 eV per atom.

a b c (Å): 3.432 4.877 4.877
angles (deg): 90.00 90.00 90.00
Element x y z (fractional)
1 Cu 0.000 0.500 0.000
2 Er 0.500 0.000 0.000
3 Cu 0.000 0.000 0.500
4 Ho 0.500 0.500 0.500

***

DFT (GGA-PBE) results for an optimized crystal structure of Ho5ErCu4.

Values from the calculation:
The density of states at the Fermi level is 0.773 states/eV per atom. For the formation energy from the elements, the calculation gives -0.20 eV per atom.

a b c (Å): 3.452 3.452 18.941
angles (deg): 90.00 90.00 90.00
Element x y z (fractional)
1 Ho 0.500 0.500 0.317
2 Cu 0.000 0.000 0.774
3 Ho 0.500 0.500 0.683
4 Ho 0.500 0.500 0.500
5 Cu 0.000 0.000 0.591
6 Cu 0.000 0.000 0.226
7 Ho 0.500 0.500 0.864
8 Er 0.000 0.000 0.000
9 Cu 0.000 0.000 0.409
10 Ho 0.500 0.500 0.136

***

DFT (GGA-PBE) results for an optimized crystal structure of Ho2ErCu9.

Values from the calculation:
The density of states at the Fermi level is 0.626 states/eV per atom. For the formation energy from the elements, the calculation gives -0.21 eV per atom.

a b c (Å): 5.126 5.126 8.833
angles (deg): 73.13 73.13 60.00
Element x y z (fractional)
1 Cu 0.918 0.418 0.246
2 Ho 0.859 0.859 0.422
3 Cu 0.082 0.582 0.754
4 Cu 0.418 0.918 0.246
5 Cu 0.668 0.668 0.997
6 Cu 0.332 0.332 0.003
7 Er 0.000 0.000 0.000
8 Cu 0.500 0.500 0.500
9 Cu 0.582 0.082 0.754
10 Cu 0.582 0.582 0.754
11 Ho 0.141 0.141 0.578
12 Cu 0.418 0.418 0.246